No. 1
LaZn3O | PBE | optimized geometry

The uncorrected formation energy comes out at -40 kJ/mol of formula units. As for the polymorph energy (0 for the lowest one): 0 meV/atom.

```
data_LaZn3O
_cell_length_a 4.607
_cell_length_b 4.607
_cell_length_c 4.607
_cell_angle_alpha 90.00
_cell_angle_beta 90.00
_cell_angle_gamma 90.00
_space_group_name_H-M_alt 'P m -3 m'
_space_group_IT_number 221
_space_group_name_Hall '-P 4 2 3'
loop_
_atom_site_label
_atom_site_type_symbol
_atom_site_fract_x
_atom_site_fract_y
_atom_site_fract_z
La1 La 0.000 0.000 0.000
Zn1 Zn 0.000 0.500 0.500
O1 O 0.500 0.500 0.500
```



No. 2
TeOs5 | PBE | optimized geometry

The uncorrected formation energy comes out at 334 kJ/mol of formula units. As for the polymorph energy (0 for the lowest one): 64 meV/atom.

```
data_TeOs5
_cell_length_a 4.8856
_cell_length_b 4.8856
_cell_length_c 4.4931
_cell_angle_alpha 90.00
_cell_angle_beta 90.00
_cell_angle_gamma 120.00
_space_group_name_H-M_alt 'P -6 2 m'
_space_group_IT_number 189
_space_group_name_Hall 'P -6 -2'
loop_
_atom_site_label
_atom_site_type_symbol
_atom_site_fract_x
_atom_site_fract_y
_atom_site_fract_z
Te1 Te 0.0000 0.0000 0.0000
Os1 Os 0.0000 0.6334 0.5000
Os2 Os 0.3333 0.6667 0.0000
```